(1)
This record from Alexandria describes a crystal of NaTi4O8 relaxed with PBEsol. The functional is meta-GGA SCAN.

```
NaTi4O8
1.0
6.009 0.000 0.000
-0.546 6.966 0.000
-0.281 -2.025 10.058
Na Ti O
3 12 24
direct
0.000 0.000 0.000 Na
0.280 0.012 0.274 Na
0.567 0.866 0.649 Na
0.030 0.131 0.541 Ti
0.038 0.450 0.086 Ti
0.066 0.733 0.627 Ti
0.269 0.139 0.787 Ti
0.287 0.457 0.338 Ti
0.323 0.734 0.876 Ti
0.519 0.140 0.035 Ti
0.544 0.417 0.577 Ti
0.563 0.734 0.122 Ti
0.769 0.144 0.291 Ti
0.797 0.436 0.830 Ti
0.803 0.743 0.372 Ti
0.009 0.255 0.728 O
0.026 0.290 0.229 O
0.062 0.582 0.932 O
0.078 0.619 0.433 O
0.092 0.890 0.803 O
0.255 0.983 0.603 O
0.257 0.254 0.979 O
0.274 0.287 0.473 O
0.309 0.585 0.184 O
0.326 0.615 0.683 O
0.328 0.894 0.059 O
0.500 0.980 0.857 O
0.511 0.260 0.229 O
0.527 0.290 0.732 O
0.560 0.584 0.440 O
0.581 0.617 0.934 O
0.583 0.889 0.313 O
0.729 0.981 0.112 O
0.757 0.253 0.481 O
0.779 0.292 0.983 O
0.808 0.579 0.681 O
0.828 0.621 0.185 O
0.856 0.890 0.556 O
0.980 0.983 0.356 O
```

space-group type	P1
energy above the lowest structure with this stoichiometry	36.2	meV per atom
formation energy (no corrections)	-3114	meV/atom



(2)
This record from Alexandria describes a crystal of Cu3Sb relaxed with PBEsol. The functional is meta-GGA SCAN.

```
Cu3Sb
1.0
3.835 0.000 0.000
0.000 3.835 0.000
0.000 0.000 3.835
Cu Sb
3 1
direct
0.000 0.000 0.500 Cu
0.000 0.500 0.000 Cu
0.500 0.000 0.000 Cu
0.500 0.500 0.500 Sb
```

space-group type	Pm-3m
formation energy (no corrections)	89	meV/atom



Which formula does entry 1 have?
NaTi4O8